Entry 1:
## CdIn2CuTc (PBE)

Data for crystalline CdIn2CuTc at its relaxed geometry.

The structure belongs to space group P4/mmm (No. 123); the cell edges are 5.319, 5.319 and 5.269 Å and the angles 90.00°, 90.00° and 90.00°. Symmetry generates all atoms from Cd at (0.000, 0.000, 0.000), In at (0.000, 0.500, 0.000), Cu at (0.500, 0.500, 0.500) and Tc at (0.000, 0.000, 0.500).

The calculated total energy is -2.75 eV/atom. The calculation puts the formation energy at 1422 meV per atom. Its total magnetization is 0.701 μB per atom.

---

Entry 2:
## KLi2Au (PBE)

Data for crystalline KLi2Au at its relaxed geometry.

The structure belongs to space group C2/m (No. 12); the cell edges are 7.957, 4.546 and 6.497 Å and the angles 90.00°, 112.92° and 90.00°. Symmetry generates all atoms from K at (0.000, 0.000, 0.000), Li at (0.194, 0.000, 0.586) and Au at (0.000, 0.500, 0.500).

The calculated total energy is -2.29 eV/atom. The calculation puts the formation energy at -241 meV per atom. Its total magnetization is 0.000 μB per atom.

---

What is the total magnetization in the first record?
0.701 μB per atom

---

Which of these has the highest total magnetization?
CdIn2CuTc

---

Among the records above, which one has the lowest total magnetization?
KLi2Au

---

Look up the calculated total energy of the second one.
-2.29 eV/atom